Here is a relaxed structure of Li3USn2S6 from Alexandria. Energies are from PBE-GGA.

Unit cell a=7.084 b=7.084 c=6.467 alpha=99.62 beta=99.62 gamma=121.07
Each line ends with the local moment (μB).
Fractional coordinates of all 12 atoms:
1 S 0.236 0.236 0.758  -0.03
2 S 0.921 0.617 0.748  -0.03
3 S 0.764 0.764 0.242  -0.03
4 S 0.383 0.079 0.252  -0.03
5 S 0.079 0.383 0.252  -0.03
6 S 0.617 0.921 0.748  -0.03
7 Li 0.142 0.858 0.500  0.00
8 Li 0.500 0.500 0.500  0.00
9 Li 0.858 0.142 0.500  0.00
10 Sn 0.671 0.329 0.000  -0.01
11 Sn 0.329 0.671 0.000  -0.01
12 U 0.000 0.000 0.000  1.23

* SG: C2/m, No. 12
* theoretical density: 4.37 g/cm³
* VASP energy: -5.17 eV/atom
* uncorrected formation energy: -1.024 eV per atom
* spin magnetization: 0.999 μB/f.u.